Entry 1:
The following is a DFT calculation (PBEsol) of an optimized crystal structure of NaInCl2.

Values from the calculation:
E_tot: -26.08 eV for the cell shown

a b c (Å): 7.5046 7.5046 6.6510
angles (deg): 124.34 124.34 90.00
Sites, in units of the cell vectors:
Na  0.7500  0.2500  0.5000
Na  0.5000  0.5000  0.0000
Cl  0.4121  0.8750  0.2500
Cl  0.8379  0.3750  0.2500
Cl  0.1250  0.1621  0.7500
Cl  0.6250  0.5879  0.7500
In  0.2500  0.7500  0.5000
In  0.0000  0.0000  0.0000


Entry 2:
The following is a DFT calculation (PBEsol) of an optimized crystal structure of CuNiSe2N.

Values from the calculation:
E_tot: -23.73 eV for the cell shown

a b c (Å): 3.3050 4.8714 4.8714
angles (deg): 90.00 90.00 90.00
Sites, in units of the cell vectors:
Ni  0.0000  0.0000  0.0000
Cu  0.5000  0.5000  0.5000
Se  0.0000  0.0000  0.5000
Se  0.0000  0.5000  0.0000
N  0.5000  0.0000  0.0000


Entry 3:
The following is a DFT calculation (PBEsol) of an optimized crystal structure of FeRe2Cl.

Values from the calculation:
energy above the most stable polymorph in this dataset: 0.891 eV per atom

a b c (Å): 3.5462 3.5462 4.9025
angles (deg): 90.00 90.00 90.00
Site moments in Bohr magnetons follow the coordinates.
Sites, in units of the cell vectors:
Re  0.0000  0.5000  0.0000  -0.14
Re  0.5000  0.0000  0.0000  -0.14
Fe  0.0000  0.0000  0.5000  2.77
Cl  0.5000  0.5000  0.5000  0.01


Entry 4:
The following is a DFT calculation (PBEsol) of an optimized crystal structure of Cd3GaP.

Values from the calculation:
energy of formation: 0.7019 eV per atom

a b c (Å): 4.9750 4.9750 4.9750
angles (deg): 90.00 90.00 90.00
Sites, in units of the cell vectors:
P  0.5000  0.5000  0.5000
Ga  0.0000  0.0000  0.0000
Cd  0.0000  0.5000  0.0000
Cd  0.0000  0.0000  0.5000
Cd  0.5000  0.0000  0.0000


Entry 5:
The following is a DFT calculation (PBEsol) of an optimized crystal structure of Zn2FeNi.

Values from the calculation:
energy of formation: -0.0687 eV per atom

a b c (Å): 2.5903 2.5903 7.1394
angles (deg): 90.00 90.00 90.00
Site moments in Bohr magnetons follow the coordinates.
Sites, in units of the cell vectors:
Ni  0.5000  0.5000  0.7406  0.43
Zn  0.0000  0.0000  0.9799  -0.01
Zn  0.5000  0.5000  0.2642  -0.04
Fe  0.0000  0.0000  0.5153  2.35


Entry 6:
The following is a DFT calculation (PBEsol) of an optimized crystal structure of Sm4Sb3.

Values from the calculation:
E_tot: -83.34 eV for the cell shown

a b c (Å): 8.0034 8.0034 8.0034
angles (deg): 109.47 109.47 109.47
Sites, in units of the cell vectors:
Sm  0.8569  0.8569  0.3569
Sm  0.3569  0.3569  0.8569
Sm  0.5000  0.1431  0.5000
Sm  0.6431  0.0000  0.0000
Sm  0.5000  0.6431  0.5000
Sm  0.0000  0.5000  0.6431
Sm  0.1431  0.0000  0.0000
Sm  0.0000  0.5000  0.1431
Sb  0.6250  0.3750  0.2500
Sb  0.1250  0.2500  0.3750
Sb  0.3750  0.7500  0.1250
Sb  0.8750  0.1250  0.7500
Sb  0.7500  0.6250  0.8750
Sb  0.2500  0.8750  0.6250